[1]
This record from Alexandria describes a relaxed Pm2VTcGe6 crystal. The functional is PBE.

```
20
Lattice="3.098 1.789 12.221 -3.098 1.789 12.221 0.000 -3.577 12.221" Properties=species:S:1:pos:R:3 pbc="T T T"
Pm 0.000 0.000 4.479
Pm 0.000 0.000 10.818
Pm 0.000 0.000 25.845
Pm 0.000 0.000 32.184
V 0.000 0.000 0.000
V 0.000 0.000 18.332
Tc 0.000 0.000 15.725
Tc 0.000 0.000 20.938
Ge -1.846 -1.066 16.994
Ge 0.000 -1.579 13.727
Ge -1.367 0.789 13.727
Ge -1.367 -0.789 22.936
Ge 0.000 -2.132 19.669
Ge -1.846 1.066 19.669
Ge 1.846 -1.066 16.994
Ge 0.000 2.132 16.994
Ge 1.367 0.789 13.727
Ge 1.367 -0.789 22.936
Ge 0.000 1.579 22.936
Ge 1.846 1.066 19.669
```

Results
ΔH_f (0 K) in meV per atom: -357
Symmetry: R-3m, No. 166
Size of the total moment in μB/cell: 0.1
Total energy in eV per cell: -120.53


[2]
This record from Alexandria describes a relaxed Ca2GaW4 crystal. The functional is PBE.

```
7
Lattice="-2.324 2.324 7.910 2.324 -2.324 7.910 2.324 2.324 -7.910" Properties=species:S:1:pos:R:3 pbc="T T T"
Ca 0.000 0.000 2.364
Ca 0.000 0.000 13.456
Ga 0.000 0.000 7.910
W 2.324 0.000 0.000
W 0.000 0.000 5.625
W 0.000 2.324 0.000
W 0.000 0.000 10.195
```

Results
ΔH_f (0 K) in meV per atom: 1943
Symmetry: I4/mmm, No. 139
Size of the total moment in μB/cell: 0.9
Total energy in eV per cell: -45.24


[3]
This record from Alexandria describes a relaxed MnSbPH2 crystal. The functional is PBE.

```
5
Lattice="3.588 0.000 0.000 0.000 3.588 0.000 0.000 0.000 5.633" Properties=species:S:1:pos:R:3 pbc="T T T"
Mn 0.000 0.000 0.000
Sb 1.794 1.794 2.817
P 1.794 1.794 0.000
H 0.000 1.794 2.817
H 1.794 0.000 2.817
```

Results
Symmetry: P4/mmm, No. 123
Size of the total moment in μB/cell: 0.0
Total energy in eV per cell: -21.19


[4]
This record from Alexandria describes a relaxed SiHgRh2 crystal. The functional is PBE.

```
8
Lattice="-3.450 3.450 2.815 3.450 -3.450 2.815 3.450 3.450 -2.815" Properties=species:S:1:pos:R:3 pbc="T T T"
Si 0.000 0.000 0.000
Si 0.000 3.450 1.408
Hg 3.450 0.000 1.408
Hg 0.000 0.000 2.815
Rh 5.175 1.315 -0.704
Rh 1.315 1.725 0.704
Rh -1.725 2.135 2.111
Rh 2.135 1.725 3.519
```

Results
Excess energy over the best structure of this formula in the dataset in meV per atom: 328.4
Formation energy from raw total energies in eV/atom: -0.15
Symmetry: I-42d, No. 122
Size of the total moment in μB/cell: 0.0
Total energy in eV per cell: -42.02


[5]
This record from Alexandria describes a relaxed Pu2CdGa9 crystal. The functional is PBE.

```
12
Lattice="2.875 1.660 8.469 -2.875 1.660 8.469 0.000 -3.320 8.469" Properties=species:S:1:pos:R:3 pbc="T T T"
Pu 0.000 0.000 3.556
Pu 0.000 0.000 21.850
Cd 0.000 0.000 0.000
Ga -1.510 -0.872 10.635
Ga 0.000 0.000 8.582
Ga 0.000 -1.744 14.771
Ga -1.510 0.872 14.771
Ga 0.000 0.000 12.703
Ga 1.510 -0.872 10.635
Ga 0.000 1.744 10.635
Ga 0.000 0.000 16.824
Ga 1.510 0.872 14.771
```

Results
ΔH_f (0 K) in meV per atom: -126
Symmetry: R-3m, No. 166
Size of the total moment in μB/cell: 11.4
Total energy in eV per cell: -58.33


[6]
This record from Alexandria describes a relaxed Pm2CdPd3 crystal. The functional is PBE.

```
12
Lattice="0.000 4.740 7.865 3.619 0.000 7.865 3.619 4.740 0.000" Properties=species:S:1:pos:R:3 pbc="T T T"
Pm 5.472 4.740 7.865
Pm 1.810 2.370 3.932
Pm 5.429 7.110 11.797
Pm 1.767 4.740 7.865
Cd 3.619 4.740 5.230
Cd 3.619 4.740 10.500
Pd 3.619 4.740 2.561
Pd 3.619 2.394 6.522
Pd 3.619 2.394 9.208
Pd 3.619 7.087 6.522
Pd 3.619 7.087 9.208
Pd 3.619 4.740 13.169
```

Results
Excess energy over the best structure of this formula in the dataset in meV per atom: 106.1
ΔH_f (0 K) in meV per atom: -627
Symmetry: Fmmm, No. 69
Size of the total moment in μB/cell: 0.0
Total energy in eV per cell: -59.51


[7]
This record from Alexandria describes a relaxed Y7Tm2In2 crystal. The functional is PBE.

```
11
Lattice="3.359 -5.822 0.000 3.359 5.822 0.000 0.000 0.000 9.158" Properties=species:S:1:pos:R:3 pbc="T T T"
Y 0.000 0.000 0.000
Y 1.679 2.911 2.728
Y 1.679 2.911 6.431
Y 1.679 -2.911 2.728
Y 1.679 -2.911 6.431
Y 3.359 0.000 1.697
Y 3.359 0.000 7.461
Tm 1.638 0.000 4.579
Tm 5.079 0.000 4.579
In 3.359 2.667 0.000
In 3.359 -2.667 0.000
```

Results
ΔH_f (0 K) in meV per atom: 135
Symmetry: Cmmm, No. 65
Size of the total moment in μB/cell: 0.0
Total energy in eV per cell: -58.19


[8]
This record from Alexandria describes a relaxed TaIn2Te crystal. The functional is PBE.

```
4
Lattice="-1.605 2.321 6.969 1.605 -2.321 6.969 1.605 2.321 -6.969" Properties=species:S:1:pos:R:3 pbc="T T T"
Ta 0.000 0.000 0.000
In 1.605 0.000 2.655
In 0.000 2.321 4.314
Te 0.000 0.000 6.969
```

Results
Excess energy over the best structure of this formula in the dataset in meV per atom: 214.1
Formation energy from raw total energies in eV/atom: 0.29
Symmetry: Immm, No. 71
Size of the total moment in μB/cell: 0.0
Total energy in eV per cell: -19.31